Entry from Alexandria via LeMat-Bulk: crystalline UVGeO6 at its relaxed geometry (PBE+U).

Cell lengths 5.4220, 5.4220, 9.5023 Å; angles 90.00, 90.00, 120.00 degrees
Each line ends with the local moment (μB).
Sites, in units of the cell vectors:
1 U 0.6667 0.3333 0.2500  0.10
2 U 0.3333 0.6667 0.7500  0.10
3 V 0.3333 0.6667 0.2500  1.01
4 V 0.6667 0.3333 0.7500  1.01
5 Ge 0.0000 0.0000 0.0000  0.00
6 Ge 0.0000 0.0000 0.5000  0.00
7 O 0.6326 0.6491 0.1397  -0.02
8 O 0.0165 0.3674 0.1397  -0.02
9 O 0.3674 0.0165 0.6397  -0.02
10 O 0.9835 0.6326 0.8603  -0.02
11 O 0.3509 0.3674 0.3603  -0.02
12 O 0.0165 0.6491 0.3603  -0.02
13 O 0.6491 0.0165 0.8603  -0.02
14 O 0.6326 0.9835 0.3603  -0.02
15 O 0.9835 0.3509 0.6397  -0.02
16 O 0.3509 0.9835 0.1397  -0.02
17 O 0.6491 0.6326 0.6397  -0.02
18 O 0.3674 0.3509 0.8603  -0.02

Total DFT energy (no corrections) ... -8.08 eV per atom
Symmetry ... P-31c
Total magnetization ... 2.04 μB/cell